A relaxed structure of TlAsRu2, computed with PBE-GGA.

abc: 5.2365 5.2365 5.2365
angles: 145.61 118.92 72.01
Atoms (fractional coordinates):
Tl 0.0000 0.0000 0.0000
As 0.5000 0.5000 0.0000
Ru 0.2814 0.7814 0.5000
Ru 0.7186 0.2186 0.5000

Output
ρ (g/cm3): 11.46
Relative energy among the computed polymorphs (meV/atom): 228
Volume (Å³ per cell): 69.8
E_tot (eV per cell): -23.9
Energy of formation (meV per atom): 424
N(E_F) (states/eV/cell): 3.83
Space group: Immm (71)